[1]
Computed, not measured: crystalline AsRh4Au at its relaxed geometry at the GGA-PBE level of DFT.

Values from the calculation:
E: -5.8365 eV per atom
Space-group type: No. 216

Unit cell a=5.176 b=5.176 c=5.176 alpha=60.00 beta=60.00 gamma=60.00
Sites, in units of the cell vectors:
As 0.750 0.750 0.750
Rh 0.875 0.375 0.375
Rh 0.375 0.375 0.375
Rh 0.375 0.375 0.875
Rh 0.375 0.875 0.375
Au 0.000 0.000 0.000

[2]
Computed, not measured: crystalline NdSm6Tm6 at its relaxed geometry at the GGA-PBE level of DFT.

Values from the calculation:
E: -4.3979 eV per atom
Space-group type: No. 65

Unit cell a=6.605 b=6.605 c=11.055 alpha=90.00 beta=90.00 gamma=115.34
Sites, in units of the cell vectors:
Sm 0.000 0.000 0.668
Sm 0.642 0.358 0.000
Sm 0.734 0.266 0.500
Sm 0.000 0.000 0.332
Sm 0.266 0.734 0.500
Sm 0.358 0.642 0.000
Tm 0.500 0.500 0.299
Tm 0.000 0.500 0.774
Tm 0.500 0.000 0.226
Tm 0.000 0.500 0.226
Tm 0.500 0.500 0.701
Tm 0.500 0.000 0.774
Nd 0.000 0.000 0.000

Question: E of number 1 (AsRh4Au)?
Answer: -5.8365 eV per atom

What did the second record say?
Computed, not measured: crystalline NdSm6Tm6 at its relaxed geometry at the GGA-PBE level of DFT.

Values from the calculation:
E: -4.3979 eV per atom
Space-group type: No. 65

Unit cell a=6.605 b=6.605 c=11.055 alpha=90.00 beta=90.00 gamma=115.34
Sites, in units of the cell vectors:
Sm 0.000 0.000 0.668
Sm 0.642 0.358 0.000
Sm 0.734 0.266 0.500
Sm 0.000 0.000 0.332
Sm 0.266 0.734 0.500
Sm 0.358 0.642 0.000
Tm 0.500 0.500 0.299
Tm 0.000 0.500 0.774
Tm 0.500 0.000 0.226
Tm 0.000 0.500 0.226
Tm 0.500 0.500 0.701
Tm 0.500 0.000 0.774
Nd 0.000 0.000 0.000

Please write out number 1 again, unchanged.
Computed, not measured: crystalline AsRh4Au at its relaxed geometry at the GGA-PBE level of DFT.

Values from the calculation:
E: -5.8365 eV per atom
Space-group type: No. 216

Unit cell a=5.176 b=5.176 c=5.176 alpha=60.00 beta=60.00 gamma=60.00
Sites, in units of the cell vectors:
As 0.750 0.750 0.750
Rh 0.875 0.375 0.375
Rh 0.375 0.375 0.375
Rh 0.375 0.375 0.875
Rh 0.375 0.875 0.375
Au 0.000 0.000 0.000

Copy entry 1 word for word.
Computed, not measured: crystalline AsRh4Au at its relaxed geometry at the GGA-PBE level of DFT.

Values from the calculation:
E: -5.8365 eV per atom
Space-group type: No. 216

Unit cell a=5.176 b=5.176 c=5.176 alpha=60.00 beta=60.00 gamma=60.00
Sites, in units of the cell vectors:
As 0.750 0.750 0.750
Rh 0.875 0.375 0.375
Rh 0.375 0.375 0.375
Rh 0.375 0.375 0.875
Rh 0.375 0.875 0.375
Au 0.000 0.000 0.000